No. 1
ZnTe2Se: relaxed, GGA-PBE.

SG   P4mm, No. 99
E_form (uncorrected)   -19 kJ/mol of formula units
Size of the total moment   0.00 μB/f.u.

abc: 3.5130 3.5130 8.8528
angles: 90.00 90.00 90.00
Last column: nearest neighbours and their distance in Å.
Element x y z (fractional)
Zn1 0.0000 0.0000 0.0000  1 Te 2.61, 4 Se 2.63
Te1 0.0000 0.0000 0.2948  1 Zn 2.61
Te2 0.5000 0.5000 0.6082  1 Se 2.60
Se1 0.5000 0.5000 0.9018  1 Te 2.60, 4 Zn 2.63

---

No. 2
Zn2TeSe: relaxed, GGA-PBE.

Excess energy over the best structure of this formula in the dataset   712 meV per atom
SG   P4/mmm, No. 123
E_form (uncorrected)   52 kJ/mol of formula units
Size of the total moment   0.00 μB/f.u.

abc: 3.4174 3.4174 7.2026
angles: 90.00 90.00 90.00
Last column: nearest neighbours and their distance in Å.
Element x y z (fractional)
Zn1 0.0000 0.0000 0.2061  4 Se 2.84, 1 Zn 2.97
Zn2 0.0000 0.0000 0.7939  4 Se 2.84, 1 Zn 2.97
Te1 0.5000 0.5000 0.5000  8 Zn 3.21, 4 Te 3.42
Se1 0.5000 0.5000 0.0000  8 Zn 2.84